This record from the Alexandria database describes a relaxed AcFe2GeO8 crystal. The functional is GGA+U.

abc: 5.2090 5.2090 6.8602
angles: 90.00 90.00 120.00
Fractional positions:
O 0.2943 0.2756 0.3278
O 0.2756 0.9813 0.6722
O 0.3333 0.6667 0.9666
O 0.6667 0.3333 0.0334
O 0.0187 0.2943 0.6722
O 0.7057 0.7244 0.6722
O 0.7244 0.0187 0.3278
O 0.9813 0.7057 0.3278
Ac 0.0000 0.0000 0.0000
Fe 0.3333 0.6667 0.7118
Fe 0.6667 0.3333 0.2882
Ge 0.0000 0.0000 0.5000

Properties
Magnetic moment = 0.58 μB/atom
Uncorrected energy = -6.42 eV/atom
Space group = No. 147